{
  "formula": "PuZr2Nb",
  "functional": "PBE",
  "state": "relaxed",
  "total_magnetization_mub_per_cell": 5.3,
  "dft_energy_ev_per_atom": -10.210,
  "e_form_ev_per_atom": 0.164,
  "space_group": "Fm-3m, No. 225",
  "lattice_angstrom": [[4.975, 0.000, 0.000], [2.487, 4.308, 0.000], [2.487, 1.436, 4.062]],
  "species": ["Zr", "Zr", "Pu", "Nb"],
  "fractional_positions": [[0.250, 0.250, 0.250], [0.750, 0.750, 0.750], [0.000, 0.000, 0.000], [0.500, 0.500, 0.500]]
}